Record 1
Entry from the Alexandria database: Li2MnPt after structural relaxation (PBE-GGA).

The calculation puts the volume at 57 Å³/cell. The value obtained for the total energy is -19.95 eV for the cell shown. The value obtained for the size of the total moment is 0.88 μB per atom.

Lattice parameters (Å, degrees): 2.7531 4.5310 4.6103 90.00 93.34 90.00
With the nearest neighbours (Å) after each atom.
Space group P2/m (No. 10)
Symmetry-distinct sites (fractional):
Li (0.2471, 0.0000, 0.2647)  5 Li 2.51-2.75, 2 Pt 2.62, 2 Mn 2.68
Mn (0.5000, 0.5000, 0.0000)  4 Pt 2.62-2.75, 4 Li 2.68, 2 Mn 2.75
Pt (0.0000, 0.5000, 0.5000)  4 Mn 2.62-2.75, 4 Li 2.62, 2 Pt 2.75

***

Record 2
Entry from the Alexandria database: LiMnPt after structural relaxation (PBE-GGA).

The calculation puts the volume at 43 Å³/cell. The value obtained for the total energy is -18.01 eV for the cell shown. The value obtained for the size of the total moment is 1.42 μB per atom.

Lattice parameters (Å, degrees): 4.2271 4.2271 2.7561 90.00 90.00 120.00
With the nearest neighbours (Å) after each atom.
Space group P3m1 (No. 156)
Symmetry-distinct sites (fractional):
Li (0.0000, 0.0000, 0.0000)  3 Mn 2.56, 3 Pt 2.60, 2 Li 2.76
Mn (0.6667, 0.3333, 0.2796)  3 Li 2.56, 3 Pt 2.67, 2 Mn 2.76
Pt (0.3333, 0.6667, 0.6740)  3 Li 2.60, 3 Mn 2.67, 2 Pt 2.76

***

Record 3
Entry from the Alexandria database: LiMnPt after structural relaxation (PBE-GGA).

The calculation puts the volume at 156 Å³/cell. The value obtained for the total energy is -70.37 eV for the cell shown. The value obtained for the size of the total moment is 0.00 μB per atom.

Lattice parameters (Å, degrees): 12.3985 2.8072 4.4945 90.00 93.65 90.00
With the nearest neighbours (Å) after each atom.
Space group Cm (No. 8)
Symmetry-distinct sites (fractional):
Li (0.0000, 0.0000, 0.0000)  3 Pt 2.50-2.68, 2 Li 2.50, 4 Mn 2.68-2.73
Li (0.1671, 0.5000, 0.0625)  2 Li 2.50, 6 Pt 2.53-2.69, 1 Mn 2.69
Mn (0.3289, 0.5000, 0.4914)  2 Mn 2.12
Mn (0.4570, 0.0000, 0.4864)  2 Mn 2.12
Pt (0.1353, 0.0000, 0.5595)  4 Mn 2.62-2.81, 6 Li 2.67-2.93, 2 Pt 2.81
Pt (0.3326, 0.0000, 0.9841)  4 Li 2.50-2.53, 6 Mn 2.62-2.80